Material: NbGaTe2N
Method: DFT, meta-GGA SCAN
State: PBEsol geometry

Computed properties:
- Formation energy from raw total energies: 0.74 eV per atom
- Mass density: 6.95 g/cm3
- Crystal system: tetragonal
- Total magnetization: 1.3 μB per cell

```
NbGaTe2N
1.0
5.429 0.000 0.000
0.000 5.429 0.000
0.000 0.000 3.501
Nb Ga Te N
1 1 2 1
direct
0.000 0.000 0.000 Nb
0.500 0.500 0.500 Ga
0.000 0.500 0.500 Te
0.500 0.000 0.500 Te
0.500 0.500 0.000 N
```